A plane-wave DFT calculation with PBE was carried out for a relaxed MgTa2Br crystal.

Unit cell a=3.191 b=4.724 c=5.246 alpha=90.00 beta=90.00 gamma=90.00
Space group Pmmm (No. 47)
Asymmetric unit:
Mg (0.000, 0.000, 0.000)
Ta (0.000, 0.500, 0.500)
Ta (0.500, 0.000, 0.500)
Br (0.500, 0.500, 0.000)

Properties
spin magnetization	0.0	μB per formula unit
formation energy without anion corrections	2.18	eV/f.u.